Entry 1:
Entry from the Alexandria database: a PBEsol-optimized structure of RbMg3 (meta-GGA SCAN).

a = 5.6118 Å, b = 5.6118 Å, c = 5.6118 Å
α = 60.00°, β = 60.00°, γ = 60.00°
Sites, in units of the cell vectors:
1 Rb 0.0000 0.0000 0.0000
2 Mg 0.2500 0.2500 0.2500
3 Mg 0.5000 0.5000 0.5000
4 Mg 0.7500 0.7500 0.7500

## Properties
Its formation energy is 33 kJ per mole of atoms. The symmetry is Fm-3m, No. 225. The calculation puts the distance to the lowest polymorph of the same formula at 137.6 meV/atom. The mass density is 2.10 g/cm3.

Entry 2:
Entry from the Alexandria database: a PBEsol-optimized structure of RbMgRh3 (meta-GGA SCAN).

a = 4.7271 Å, b = 4.7271 Å, c = 4.7271 Å
α = 90.00°, β = 90.00°, γ = 90.00°
Sites, in units of the cell vectors:
1 Rb 0.0000 0.0000 0.0000
2 Mg 0.5000 0.5000 0.5000
3 Rh 0.0000 0.0000 0.5000
4 Rh 0.0000 0.5000 0.0000
5 Rh 0.5000 0.0000 0.0000

## Properties
Its formation energy is 198 kJ per mole of atoms. The symmetry is Pm-3m, No. 221. The mass density is 6.58 g/cm3.

Entry 3:
Entry from the Alexandria database: a PBEsol-optimized structure of RbMg2RhSe (meta-GGA SCAN).

a = 5.6359 Å, b = 5.6359 Å, c = 5.5621 Å
α = 90.00°, β = 90.00°, γ = 90.00°
Sites, in units of the cell vectors:
1 Rb 0.0000 0.0000 0.0000
2 Mg 0.0000 0.5000 0.0000
3 Mg 0.5000 0.0000 0.0000
4 Rh 0.5000 0.5000 0.5000
5 Se 0.0000 0.0000 0.5000

## Properties
The symmetry is P4/mmm, No. 123. The formation energy (no corrections) comes out at 1.601 eV/atom. The mass density is 2.97 g/cm3.

Entry 4:
Entry from the Alexandria database: a PBEsol-optimized structure of RbMgTaRu2 (meta-GGA SCAN).

a = 4.7255 Å, b = 4.7255 Å, c = 5.6482 Å
α = 90.00°, β = 90.00°, γ = 90.00°
Sites, in units of the cell vectors:
1 Rb 0.0000 0.0000 0.0000
2 Mg 0.5000 0.5000 0.0000
3 Ta 0.0000 0.0000 0.5000
4 Ru 0.0000 0.5000 0.5000
5 Ru 0.5000 0.0000 0.5000

## Properties
Its formation energy is 147 kJ per mole of atoms. The symmetry is P4/mmm, No. 123. The mass density is 6.49 g/cm3.

Values for total magnetic moment, μB per atom, ordered as above
0.000 0.183 0.450 0.000
Values for V, A^3/atom, ordered as above
31.2 21.1 35.3 25.2